Record 1
Compound: Ta3TiNb8
Source: Alexandria
Functional: PBE
Structure: relaxed

ΔE_f, kJ per mole of atoms: 82
Energy, eV per formula unit: -113.84
Magnetic moment, μB/cell: 0.00
DOS at the Fermi energy, states/eV per cell: 22.65

Cell: 6.322 6.322 12.630 Å, 90.00 90.00 90.00°
Space group I4/mmm (No. 139)
One atom of each set of equivalent atoms:
1 Ta 0.000 0.000 0.000 [2 per cell]
2 Ta 0.000 0.500 0.250 [4 per cell]
3 Ti 0.000 0.000 0.500 [2 per cell]
4 Nb 0.247 0.247 0.376 [16 per cell]

Record 2
Compound: ZrRe2Hg
Source: Alexandria
Functional: PBE
Structure: relaxed

ΔE_f, kJ per mole of atoms: 109
Energy, eV per formula unit: -29.22
Magnetic moment, μB/cell: 2.61
DOS at the Fermi energy, states/eV per cell: 21.41

Cell: 7.554 7.554 5.498 Å, 90.00 90.00 90.00°
Space group I-42d (No. 122)
One atom of each set of equivalent atoms:
1 Zr 0.000 0.000 0.000 [4 per cell]
2 Re 0.247 0.750 0.125 [8 per cell]
3 Hg 0.000 0.000 0.500 [4 per cell]

Record 3
Compound: MgReTc2
Source: Alexandria
Functional: PBE
Structure: relaxed

ΔE_f, kJ per mole of atoms: 18
Energy, eV per formula unit: -34.02
Magnetic moment, μB/cell: 0.00
DOS at the Fermi energy, states/eV per cell: 3.49

Cell: 2.696 4.399 5.195 Å, 90.00 101.74 90.00°
Space group Pm (No. 6)
One atom of each set of equivalent atoms:
1 Mg 0.000 0.000 0.000 [1 per cell]
2 Re 0.719 0.500 0.253 [1 per cell]
3 Tc 0.277 0.500 0.764 [1 per cell]
4 Tc 0.504 0.000 0.500 [1 per cell]

Record 4
Compound: AcNi2SbN
Source: Alexandria
Functional: PBE
Structure: relaxed

Energy, eV per formula unit: -30.97
Magnetic moment, μB/cell: 0.00
Formation energy from raw total energies, eV per atom: -0.570
DOS at the Fermi energy, states/eV per cell: 16.69

Cell: 3.946 12.281 7.189 Å, 90.00 90.00 90.00°
Space group Cmcm (No. 63)
One atom of each set of equivalent atoms:
1 Ac 0.000 0.040 0.250 [4 per cell]
2 Ni 0.000 0.349 0.055 [8 per cell]
3 Sb 0.000 0.231 0.750 [4 per cell]
4 N 0.000 0.500 0.000 [4 per cell]

Record 5
Compound: Dy2SiO
Source: Alexandria
Functional: PBE
Structure: relaxed

Energy, eV per formula unit: -26.05
Magnetic moment, μB/cell: 0.00
Formation energy from raw total energies, eV per atom: -1.616
Distance to the lowest polymorph of the same formula, meV/atom: 59
DOS at the Fermi energy, states/eV per cell: 4.87

Cell: 3.7015 3.7015 19.0702 Å, 90.00 90.00 120.00°
Space group R-3m (No. 166, hexagonal axes)
One atom of each set of equivalent atoms:
1 Dy 0.0000 0.0000 0.2383 [6 per cell]
2 Si 0.0000 0.0000 0.0000 [3 per cell]
3 O 0.0000 0.0000 0.5000 [3 per cell]

Record 6
Compound: KB2Cl
Source: Alexandria
Functional: PBE
Structure: relaxed

Energy, eV per formula unit: -13.94
Magnetic moment, μB/cell: 0.00
Formation energy from raw total energies, eV per atom: 0.590
Distance to the lowest polymorph of the same formula, meV/atom: 0
DOS at the Fermi energy, states/eV per cell: 6.53

Cell: 3.703 3.703 24.394 Å, 90.00 90.00 90.00°
Space group I4_1/amd (No. 141, origin choice 2)
One atom of each set of equivalent atoms:
1 K 0.000 0.250 0.375 [4 per cell]
2 B 0.000 0.000 0.000 [8 per cell]
3 Cl 0.000 0.250 0.875 [4 per cell]

Record 7
Compound: MgAlCdSn
Source: Alexandria
Functional: PBE
Structure: relaxed

ΔE_f, kJ per mole of atoms: 9
Energy, eV per formula unit: -9.86
Magnetic moment, μB/cell: 0.00
DOS at the Fermi energy, states/eV per cell: 9.29

Cell: 7.114 7.114 7.114 Å, 90.00 90.00 90.00°
Space group F-43m (No. 216)
One atom of each set of equivalent atoms:
1 Mg 0.000 0.000 0.000 [4 per cell]
2 Al 0.000 0.000 0.500 [4 per cell]
3 Cd 0.250 0.250 0.250 [4 per cell]
4 Sn 0.250 0.250 0.750 [4 per cell]

Record 8
Compound: LaSc3S6
Source: Alexandria
Functional: PBE
Structure: relaxed

Energy, eV per formula unit: -68.40
Magnetic moment, μB/cell: 0.00
Formation energy from raw total energies, eV per atom: -1.972

Cell: 10.718 3.843 10.936 Å, 90.00 109.39 90.00°
Space group P2_1/m (No. 11)
One atom of each set of equivalent atoms:
1 La 0.055 0.250 0.200 [2 per cell]
2 Sc 0.160 0.250 0.591 [2 per cell]
3 Sc 0.323 0.750 0.001 [2 per cell]
4 Sc 0.451 0.250 0.337 [2 per cell]
5 S 0.082 0.750 0.415 [2 per cell]
6 S 0.128 0.250 0.965 [2 per cell]
7 S 0.205 0.750 0.748 [2 per cell]
8 S 0.280 0.750 0.234 [2 per cell]
9 S 0.389 0.250 0.554 [2 per cell]
10 S 0.478 0.250 0.112 [2 per cell]